(1)
Compound: TcGeAs3
Source: the Alexandria database
Functional: GGA-PBEsol
Structure: relaxed

a = 4.748 Å, b = 4.748 Å, c = 4.748 Å
α = 90.00°, β = 90.00°, γ = 90.00°
Space group Pm-3m (No. 221)
One atom of each set of equivalent atoms:
Tc 0.000 0.000 0.000 (multiplicity 1)
Ge 0.500 0.500 0.500 (multiplicity 1)
As 0.000 0.000 0.500 (multiplicity 3)

As for the magnetization: 0.00 μB per formula unit. The density of states at the Fermi level comes out at 3.63 states/eV/cell. The calculation puts the excess energy over the best structure of this formula in the dataset at 0.0 kJ per mole of atoms. As for the final energy: -5.7115 eV/atom. The density comes out at 6.14 g/cm³. The value obtained for the formation energy is 0.593 eV/atom.

(2)
Compound: SiTeAs2Br
Source: the Alexandria database
Functional: GGA-PBEsol
Structure: relaxed

a = 5.282 Å, b = 5.282 Å, c = 5.309 Å
α = 90.00°, β = 90.00°, γ = 90.00°
Space group P4/mmm (No. 123)
One atom of each set of equivalent atoms:
Si 0.000 0.000 0.000 (multiplicity 1)
Te 0.500 0.500 0.500 (multiplicity 1)
As 0.000 0.500 0.500 (multiplicity 2)
Br 0.500 0.500 0.000 (multiplicity 1)

As for the magnetization: 0.00 μB per formula unit. The density of states at the Fermi level comes out at 5.29 states/eV/cell. As for the final energy: -3.1588 eV/atom. The density comes out at 4.32 g/cm³. For the raw formation energy, the calculation gives 1.11 eV/atom.

(3)
Compound: Ba2ZnTc
Source: the Alexandria database
Functional: GGA-PBEsol
Structure: relaxed

a = 3.578 Å, b = 3.578 Å, c = 9.025 Å
α = 90.00°, β = 90.00°, γ = 90.00°
Space group P4mm (No. 99)
One atom of each set of equivalent atoms:
Ba 0.000 0.000 0.000 (multiplicity 1)
Ba 0.500 0.500 0.428 (multiplicity 1)
Zn 0.000 0.000 0.670 (multiplicity 1)
Tc 0.500 0.500 0.741 (multiplicity 1)

As for the magnetization: 0.00 μB per formula unit. The density of states at the Fermi level comes out at 4.39 states/eV/cell. As for the final energy: -3.8823 eV/atom. The density comes out at 6.30 g/cm³. The value obtained for the formation energy is 0.404 eV/atom.